# CaCd2Re

CaCd2Re after structural relaxation (PBE-GGA, the Alexandria database).

Density of states at the Fermi level: 3.40 states/eV per cell
ΔH_f (0 K): 1.87 eV per formula unit
ρ: 9.2 Mg/m³

abc: 2.9514 2.9514 9.3964
angles: 90.00 90.00 90.00
Closest atoms and distances in Å follow each position.
Space group P4/mmm (No. 123)
Unique sites:
Ca: 0.0000 0.0000 0.0000 (multiplicity 1)  4 Ca 2.95, 8 Cd 3.29
Cd: 0.5000 0.5000 0.2713 (multiplicity 2)  4 Cd 2.95, 4 Re 3.00, 4 Ca 3.29
Re: 0.0000 0.0000 0.5000 (multiplicity 1)  4 Re 2.95, 8 Cd 3.00